(1)
# GaSbH2 PBE-GGA optimized geometry
# energy = -2.810 eV/atom
data_GaSbH2
_chemical_formula_sum 'Ga4 Sb4 H8'
_cell_length_a 5.910
_cell_length_b 5.910
_cell_length_c 5.910
_cell_angle_alpha 90.00
_cell_angle_beta 90.00
_cell_angle_gamma 90.00
_space_group_name_H-M_alt 'F m -3 m'
_space_group_IT_number 225
_space_group_name_Hall '-F 4 2 3'
loop_
_atom_site_label
_atom_site_fract_x
_atom_site_fract_y
_atom_site_fract_z
Ga1 0.000 0.000 0.000
Sb1 0.000 0.000 0.500
H1 0.250 0.250 0.250

=====

(2)
# Ta2SnRu2 PBE-GGA optimized geometry
# E_form = -0.007 eV/atom
data_Ta2SnRu2
_chemical_formula_sum 'Ta4 Sn2 Ru4'
_cell_length_a 4.296
_cell_length_b 4.296
_cell_length_c 10.685
_cell_angle_alpha 90.00
_cell_angle_beta 90.00
_cell_angle_gamma 90.00
_space_group_name_H-M_alt 'I 4/m m m'
_space_group_IT_number 139
_space_group_name_Hall '-I 4 2'
loop_
_atom_site_label
_atom_site_fract_x
_atom_site_fract_y
_atom_site_fract_z
Ta1 0.000 0.500 0.250
Sn1 0.000 0.000 0.000
Ru1 0.000 0.000 0.381

=====

(3)
# LiLaRe PBE-GGA optimized geometry
# E_form = 1.261 eV/atom
data_LiLaRe
_chemical_formula_sum 'Li4 La4 Re4'
_cell_length_a 6.555
_cell_length_b 6.555
_cell_length_c 6.555
_cell_angle_alpha 90.00
_cell_angle_beta 90.00
_cell_angle_gamma 90.00
_space_group_name_H-M_alt 'F -4 3 m'
_space_group_IT_number 216
_space_group_name_Hall 'F -4 2 3'
loop_
_atom_site_label
_atom_site_fract_x
_atom_site_fract_y
_atom_site_fract_z
Li1 0.000 0.000 0.000
La1 0.250 0.250 0.250
Re1 0.000 0.000 0.500

=====

(4)
# TlBiIrO2 PBE-GGA optimized geometry
# uncorrected formation energy = 0.8 eV/f.u.
data_TlBiIrO2
_chemical_formula_sum 'Tl1 Bi1 Ir1 O2'
_cell_length_a 4.176
_cell_length_b 4.176
_cell_length_c 5.516
_cell_angle_alpha 90.00
_cell_angle_beta 90.00
_cell_angle_gamma 90.00
_space_group_name_H-M_alt 'P 4/m m m'
_space_group_IT_number 123
_space_group_name_Hall '-P 4 2'
loop_
_atom_site_label
_atom_site_fract_x
_atom_site_fract_y
_atom_site_fract_z
Tl1 0.000 0.000 0.000
Bi1 0.500 0.500 0.500
Ir1 0.500 0.500 0.000
O1 0.000 0.500 0.500

=====

(5)
# CuS3O PBE-GGA optimized geometry
# uncorrected formation energy = 6.5 eV/f.u.
data_CuS3O
_chemical_formula_sum 'Cu1 S3 O1'
_cell_length_a 4.426
_cell_length_b 4.426
_cell_length_c 4.426
_cell_angle_alpha 90.00
_cell_angle_beta 90.00
_cell_angle_gamma 90.00
_space_group_name_H-M_alt 'P m -3 m'
_space_group_IT_number 221
_space_group_name_Hall '-P 4 2 3'
loop_
_atom_site_label
_atom_site_fract_x
_atom_site_fract_y
_atom_site_fract_z
Cu1 0.000 0.000 0.000
S1 0.000 0.000 0.500
O1 0.500 0.500 0.500

=====

(6)
# Tb2DyHoAs4 PBE-GGA optimized geometry
# E_form = -1.537 eV/atom
data_Tb2DyHoAs4
_chemical_formula_sum 'Tb2 Dy1 Ho1 As4'
_cell_length_a 7.141
_cell_length_b 4.126
_cell_length_c 7.143
_cell_angle_alpha 90.00
_cell_angle_beta 109.48
_cell_angle_gamma 90.00
_space_group_name_H-M_alt 'P 1 2/m 1'
_space_group_IT_number 10
_space_group_name_Hall '-P 2y'
loop_
_atom_site_label
_atom_site_fract_x
_atom_site_fract_y
_atom_site_fract_z
Tb1 0.000 0.000 0.000
Tb2 0.000 0.500 0.500
Dy1 0.500 0.000 0.500
Ho1 0.500 0.500 0.000
As1 0.252 0.000 0.751
As2 0.252 0.500 0.250

=====

(7)
# Li8Mg2Al PBE-GGA optimized geometry
# E_form = 0.033 eV/atom
data_Li8Mg2Al
_chemical_formula_sum 'Li16 Mg4 Al2'
_cell_length_a 8.622
_cell_length_b 11.832
_cell_length_c 4.512
_cell_angle_alpha 90.00
_cell_angle_beta 90.13
_cell_angle_gamma 90.00
_space_group_name_H-M_alt 'C 1 2/m 1'
_space_group_IT_number 12
_space_group_name_Hall '-C 2y'
loop_
_atom_site_label
_atom_site_fract_x
_atom_site_fract_y
_atom_site_fract_z
Li1 0.000 0.232 0.000
Li2 0.158 0.122 0.500
Li3 0.177 0.500 0.000
Mg1 0.000 0.376 0.500
Al1 0.000 0.000 0.000

=====

(8)
# TlTeIr2 PBE-GGA optimized geometry
# uncorrected formation energy = 3.1 eV/f.u.
data_TlTeIr2
_chemical_formula_sum 'Tl2 Te2 Ir4'
_cell_length_a 6.209
_cell_length_b 9.295
_cell_length_c 3.050
_cell_angle_alpha 90.00
_cell_angle_beta 117.44
_cell_angle_gamma 90.00
_space_group_name_H-M_alt 'C 1 2/m 1'
_space_group_IT_number 12
_space_group_name_Hall '-C 2y'
loop_
_atom_site_label
_atom_site_fract_x
_atom_site_fract_y
_atom_site_fract_z
Tl1 0.000 0.000 0.000
Te1 0.000 0.500 0.000
Ir1 0.250 0.250 0.000

=====

(9)
# Mn5Ge3 PBE-GGA optimized geometry
# E_form = -0.102 eV/atom
data_Mn5Ge3
_chemical_formula_sum 'Mn10 Ge6'
_cell_length_a 7.1328
_cell_length_b 7.1328
_cell_length_c 4.9652
_cell_angle_alpha 90.00
_cell_angle_beta 90.00
_cell_angle_gamma 120.00
_space_group_name_H-M_alt 'P 63/m c m'
_space_group_IT_number 193
_space_group_name_Hall '-P 6c 2'
loop_
_atom_site_label
_atom_site_fract_x
_atom_site_fract_y
_atom_site_fract_z
Mn1 0.0000 0.2436 0.2500
Mn2 0.3333 0.6667 0.0000
Ge1 0.0000 0.3943 0.7500

=====

(10)
# La2Ga3SbPd4 PBE-GGA optimized geometry
# uncorrected formation energy = -8.3 eV/f.u.
data_La2Ga3SbPd4
_chemical_formula_sum 'La2 Ga3 Sb1 Pd4'
_cell_length_a 4.420
_cell_length_b 4.420
_cell_length_c 10.625
_cell_angle_alpha 90.00
_cell_angle_beta 90.00
_cell_angle_gamma 90.00
_space_group_name_H-M_alt 'P -4 m 2'
_space_group_IT_number 115
_space_group_name_Hall 'P -4 -2'
loop_
_atom_site_label
_atom_site_fract_x
_atom_site_fract_y
_atom_site_fract_z
La1 0.000 0.500 0.245
Ga1 0.000 0.500 0.879
Ga2 0.500 0.500 0.500
Sb1 0.000 0.000 0.500
Pd1 0.000 0.000 0.000
Pd2 0.000 0.500 0.643
Pd3 0.500 0.500 0.000

=====

(11)
# TlSiAg PBE-GGA optimized geometry
# uncorrected formation energy = 3.5 eV/f.u.
data_TlSiAg
_chemical_formula_sum 'Tl2 Si2 Ag2'
_cell_length_a 4.8410
_cell_length_b 4.8410
_cell_length_c 10.2849
_cell_angle_alpha 90.00
_cell_angle_beta 90.00
_cell_angle_gamma 120.00
_space_group_name_H-M_alt 'P 63/m m c'
_space_group_IT_number 194
_space_group_name_Hall '-P 6c 2c'
loop_
_atom_site_label
_atom_site_fract_x
_atom_site_fract_y
_atom_site_fract_z
Tl1 0.0000 0.0000 0.2500
Si1 0.0000 0.0000 0.0000
Ag1 0.3333 0.6667 0.2500

=====

(12)
# Pu2HgI6 PBE-GGA optimized geometry
# uncorrected formation energy = -3.8 eV/f.u.
data_Pu2HgI6
_chemical_formula_sum 'Pu2 Hg1 I6'
_cell_length_a 7.7835
_cell_length_b 7.7835
_cell_length_c 9.3247
_cell_angle_alpha 90.00
_cell_angle_beta 90.00
_cell_angle_gamma 120.00
_space_group_name_H-M_alt 'P -3 1 m'
_space_group_IT_number 162
_space_group_name_Hall '-P 3 2'
loop_
_atom_site_label
_atom_site_fract_x
_atom_site_fract_y
_atom_site_fract_z
Pu1 0.3333 0.6667 0.0000
Hg1 0.0000 0.0000 0.5000
I1 0.0000 0.3641 0.1951

=====

What did the tenth record say?
# La2Ga3SbPd4 PBE-GGA optimized geometry
# uncorrected formation energy = -8.3 eV/f.u.
data_La2Ga3SbPd4
_chemical_formula_sum 'La2 Ga3 Sb1 Pd4'
_cell_length_a 4.420
_cell_length_b 4.420
_cell_length_c 10.625
_cell_angle_alpha 90.00
_cell_angle_beta 90.00
_cell_angle_gamma 90.00
_space_group_name_H-M_alt 'P -4 m 2'
_space_group_IT_number 115
_space_group_name_Hall 'P -4 -2'
loop_
_atom_site_label
_atom_site_fract_x
_atom_site_fract_y
_atom_site_fract_z
La1 0.000 0.500 0.245
Ga1 0.000 0.500 0.879
Ga2 0.500 0.500 0.500
Sb1 0.000 0.000 0.500
Pd1 0.000 0.000 0.000
Pd2 0.000 0.500 0.643
Pd3 0.500 0.500 0.000